The following is a GGA-PBE calculation of crystalline CrIn2Sn at its relaxed geometry, from Alexandria.

For the calculated volume, the calculation gives 24.93 Å³/atom. For the total magnetization, the calculation gives 15.28 μB/cell. The calculation puts the formation energy at 0.42 eV/atom. The density of states at the Fermi level is 0.569 states/eV per atom.

The space group is I-42d (No. 122) and the conventional cell measures 8.286, 8.286 and 5.809 Å, with angles of 90.00, 90.00 and 90.00 degrees. The inequivalent atoms are Cr at (0.000, 0.000, 0.000), In at (0.227, 0.250, 0.125) and Sn at (0.000, 0.000, 0.500).